Computed, not measured: a geometry-optimized ZnIrCl2 structure at the PBE level of DFT.

Computed properties:
* M_tot: 0.00 Bohr magnetons per cell
* excess energy over the best structure of this formula in the dataset: 295.7 meV/atom

Cell lengths 7.792, 7.792, 6.069 Å; angles 50.07, 50.07, 90.00 degrees
Fractional positions:
Cl  0.875  0.977  0.750
Cl  0.727  0.125  0.250
Ir  0.000  0.000  0.000
Cl  0.375  0.273  0.750
Ir  0.750  0.250  0.500
Zn  0.500  0.500  0.000
Zn  0.250  0.750  0.500
Cl  0.023  0.625  0.250